1.
An optimized crystal structure of Mg4Ge6Ir7, computed with GGA-PBE.

The structure in POSCAR format:
```
Mg4Ge6Ir7
1.0
-4.0821 4.0821 4.0821
4.0821 -4.0821 4.0821
4.0821 4.0821 -4.0821
Mg Ge Ir
4 6 7
direct
0.0000 0.0000 0.5000
0.0000 0.5000 0.0000
0.5000 0.0000 0.0000
0.5000 0.5000 0.5000
0.0000 0.3087 0.3087
0.0000 0.6913 0.6913
0.3087 0.0000 0.3087
0.3087 0.3087 0.0000
0.6913 0.0000 0.6913
0.6913 0.6913 0.0000
0.0000 0.0000 0.0000
0.2500 0.5000 0.7500
0.2500 0.7500 0.5000
0.5000 0.2500 0.7500
0.5000 0.7500 0.2500
0.7500 0.2500 0.5000
0.7500 0.5000 0.2500
```

Summary:
electronic total energy = -6.10 eV/atom


2.
An optimized crystal structure of Cs2Er2ZrSe6, computed with GGA-PBE.

The structure in POSCAR format:
```
Cs2Er2ZrSe6
1.0
3.5351 -6.0985 0.0000
3.5351 6.0985 0.0000
-2.4231 0.0000 8.5823
Cs Er Zr Se
2 2 1 6
direct
0.1691 0.8309 0.0000
0.8309 0.1691 0.0000
0.3328 0.6672 0.5000
0.6672 0.3328 0.5000
0.0000 0.0000 0.5000
0.0637 0.3829 0.6812
0.2592 0.2592 0.3199
0.3829 0.0637 0.6812
0.6171 0.9363 0.3188
0.7408 0.7408 0.6801
0.9363 0.6171 0.3188
```

Summary:
uncorrected formation energy = -1.65 eV per atom


3.
An optimized crystal structure of TlCuCl3, computed with GGA-PBE.

The structure in POSCAR format:
```
TlCuCl3
1.0
0.0000 6.4247 6.4247
6.4247 0.0000 6.4247
6.4247 6.4247 0.0000
Tl Cu Cl
4 4 12
direct
0.0000 0.0000 0.0000
0.0000 0.0000 0.5000
0.0000 0.5000 0.0000
0.5000 0.0000 0.0000
0.0000 0.5000 0.5000
0.5000 0.0000 0.5000
0.5000 0.5000 0.0000
0.5000 0.5000 0.5000
0.1808 0.1808 0.5692
0.1808 0.5692 0.1808
0.1808 0.5692 0.5692
0.4308 0.4308 0.8192
0.4308 0.8192 0.4308
0.4308 0.8192 0.8192
0.5692 0.1808 0.1808
0.5692 0.1808 0.5692
0.5692 0.5692 0.1808
0.8192 0.4308 0.4308
0.8192 0.4308 0.8192
0.8192 0.8192 0.4308
```

Summary:
uncorrected formation energy = -0.62 eV per atom


4.
An optimized crystal structure of PmPr5Er2Tm, computed with GGA-PBE.

The structure in POSCAR format:
```
PmPr5Er2Tm
1.0
2.8273 -10.2936 0.0000
2.8273 10.2936 0.0000
0.0000 0.0000 10.8066
Pm Pr Er Tm
2 10 4 2
direct
0.2000 0.8000 0.5000
0.8000 0.2000 0.0000
0.0147 0.9853 0.5085
0.2806 0.7194 0.8010
0.2951 0.7049 0.1939
0.3863 0.6137 0.5127
0.4833 0.5167 0.2356
0.5167 0.4833 0.7356
0.6137 0.3863 0.0127
0.7049 0.2951 0.6939
0.7194 0.2806 0.3010
0.9853 0.0147 0.0085
0.1107 0.8893 0.2317
0.1151 0.8849 0.7981
0.8849 0.1151 0.2981
0.8893 0.1107 0.7317
0.4076 0.5924 0.9555
0.5924 0.4076 0.4555
```

Summary:
electronic total energy = -4.55 eV/atom


5.
An optimized crystal structure of GePdSN2, computed with GGA-PBE.

The structure in POSCAR format:
```
GePdSN2
1.0
3.6972 0.0000 0.0000
0.0000 3.6972 0.0000
0.0000 0.0000 5.2750
Ge Pd S N
1 1 1 2
direct
0.0000 0.0000 0.0000
0.5000 0.5000 0.5000
0.0000 0.0000 0.5000
0.0000 0.5000 0.0000
0.5000 0.0000 0.0000
```

Summary:
uncorrected formation energy = 1.20 eV per atom
distance to the lowest polymorph of the same formula = 0.000 eV/atom


6.
An optimized crystal structure of Na2CuSi4O10, computed with GGA-PBE.

The structure in POSCAR format:
```
Na2CuSi4O10
1.0
7.0029 0.0000 0.0000
-3.2099 7.1008 0.0000
-1.5492 -3.6622 9.0341
Na Cu Si O
4 2 8 20
direct
0.1832 0.2815 0.0247
0.1872 0.6389 0.4210
0.8128 0.3611 0.5790
0.8168 0.7185 0.9753
0.3062 0.3466 0.5732
0.6938 0.6534 0.4268
0.0677 0.8722 0.7509
0.2792 0.6447 0.8499
0.3511 0.1066 0.2644
0.4579 0.7536 0.1886
0.5421 0.2464 0.8114
0.6489 0.8934 0.7356
0.7208 0.3553 0.1501
0.9323 0.1278 0.2491
0.0310 0.2727 0.4201
0.0980 0.0534 0.1796
0.1160 0.7513 0.8564
0.1646 0.4322 0.7138
0.2902 0.0905 0.7986
0.3249 0.6154 0.0095
0.3388 0.8872 0.2534
0.4366 0.5932 0.2658
0.4523 0.2666 0.4314
0.4836 0.1859 0.1512
0.5164 0.8141 0.8488
0.5477 0.7334 0.5686
0.5634 0.4068 0.7342
0.6612 0.1128 0.7466
0.6751 0.3846 0.9905
0.7098 0.9095 0.2014
0.8354 0.5678 0.2862
0.8840 0.2487 0.1436
0.9020 0.9466 0.8204
0.9690 0.7273 0.5799
```

Summary:
uncorrected formation energy = -2.37 eV per atom


7.
An optimized crystal structure of CaCrNi, computed with GGA-PBE.

The structure in POSCAR format:
```
CaCrNi
1.0
4.5080 -2.7233 0.0000
4.5080 2.7233 0.0000
-2.9592 0.0000 4.2450
Ca Cr Ni
2 2 2
direct
0.0000 0.0000 0.0000
0.2430 0.2430 0.7427
0.6222 0.6222 0.3719
0.6223 0.6223 0.8729
0.1235 0.6200 0.3719
0.6200 0.1235 0.3719
```

Summary:
distance to the lowest polymorph of the same formula = 0.050 eV/atom


8.
An optimized crystal structure of ZrAg2I6, computed with GGA-PBE.

The structure in POSCAR format:
```
ZrAg2I6
1.0
7.2290 0.0000 0.0000
0.0000 7.6476 0.0000
-7.0464 0.0000 13.0365
Zr Ag I
2 4 12
direct
0.0000 0.0000 0.0000
0.0000 0.5000 0.5000
0.4243 0.1500 0.8346
0.4243 0.3500 0.3346
0.5757 0.6500 0.6654
0.5757 0.8500 0.1654
0.0361 0.1627 0.8338
0.0361 0.3373 0.3338
0.2312 0.6998 0.9924
0.2312 0.8002 0.4924
0.3831 0.1865 0.1483
0.3831 0.3135 0.6483
0.6169 0.6865 0.3517
0.6169 0.8135 0.8517
0.7688 0.1998 0.5076
0.7688 0.3002 0.0076
0.9639 0.6627 0.6662
0.9639 0.8373 0.1662
```

Summary:
uncorrected formation energy = -0.59 eV per atom


9.
An optimized crystal structure of TbThCuGe, computed with GGA-PBE.

The structure in POSCAR format:
```
TbThCuGe
1.0
0.0000 3.5851 3.5851
3.5851 0.0000 3.5851
3.5851 3.5851 0.0000
Tb Th Cu Ge
1 1 1 1
direct
0.0000 0.0000 0.0000
0.5000 0.5000 0.5000
0.2500 0.2500 0.2500
0.7500 0.7500 0.7500
```

Summary:
electronic total energy = -5.58 eV/atom


10.
An optimized crystal structure of CoRh2Se, computed with GGA-PBE.

The structure in POSCAR format:
```
CoRh2Se
1.0
1.4301 0.8257 8.0355
-1.4301 0.8257 8.0355
0.0000 -1.6513 8.0355
Co Rh Se
1 2 1
direct
0.0000 0.0000 0.0000
0.5084 0.5084 0.5084
0.7494 0.7494 0.7494
0.2584 0.2584 0.2584
```

Summary:
uncorrected formation energy = 0.21 eV per atom


11.
An optimized crystal structure of Sc2CuSi2Ir5, computed with GGA-PBE.

The structure in POSCAR format:
```
Sc2CuSi2Ir5
1.0
9.3868 0.0000 0.0000
0.0000 9.3868 0.0000
0.0000 0.0000 3.4503
Sc Cu Si Ir
4 2 4 10
direct
0.1722 0.3278 0.0000
0.3278 0.8278 0.0000
0.6722 0.1722 0.0000
0.8278 0.6722 0.0000
0.0000 0.0000 0.0000
0.5000 0.5000 0.0000
0.1295 0.6295 0.0000
0.3705 0.1295 0.0000
0.6295 0.8705 0.0000
0.8705 0.3705 0.0000
0.0000 0.5000 0.5000
0.0677 0.7955 0.5000
0.2045 0.0677 0.5000
0.2955 0.5677 0.5000
0.4323 0.2955 0.5000
0.5000 0.0000 0.5000
0.5677 0.7045 0.5000
0.7045 0.4323 0.5000
0.7955 0.9323 0.5000
0.9323 0.2045 0.5000
```

Summary:
uncorrected formation energy = -0.75 eV per atom


12.
An optimized crystal structure of LaDyHoHg, computed with GGA-PBE.

The structure in POSCAR format:
```
LaDyHoHg
1.0
0.0000 3.8933 3.8933
3.8933 0.0000 3.8933
3.8933 3.8933 0.0000
La Dy Ho Hg
1 1 1 1
direct
0.0000 0.0000 0.0000
0.5000 0.5000 0.5000
0.2500 0.2500 0.2500
0.7500 0.7500 0.7500
```

Summary:
distance to the lowest polymorph of the same formula = 0.155 eV/atom


13.
An optimized crystal structure of Ac3Tl4SnS8, computed with GGA-PBE.

The structure in POSCAR format:
```
Ac3Tl4SnS8
1.0
4.3371 2.5040 7.4459
-4.3371 2.5040 7.4459
0.0000 -5.0081 7.4459
Ac Tl Sn S
3 4 1 8
direct
0.0000 0.5000 0.5000
0.5000 0.0000 0.5000
0.5000 0.5000 0.0000
0.0000 0.0000 0.5000
0.0000 0.5000 0.0000
0.5000 0.0000 0.0000
0.5000 0.5000 0.5000
0.0000 0.0000 0.0000
0.2268 0.2268 0.7530
0.2268 0.7530 0.2268
0.2470 0.7732 0.7732
0.2623 0.2623 0.2623
0.7377 0.7377 0.7377
0.7530 0.2268 0.2268
0.7732 0.2470 0.7732
0.7732 0.7732 0.2470
```

Summary:
uncorrected formation energy = -1.19 eV per atom


14.
An optimized crystal structure of La2CuSn4Pt3, computed with GGA-PBE.

The structure in POSCAR format:
```
La2CuSn4Pt3
1.0
4.6177 0.0000 0.0000
0.0000 4.6177 0.0000
0.0000 0.0000 10.7810
La Cu Sn Pt
2 1 4 3
direct
0.0000 0.5000 0.2380
0.5000 0.0000 0.7620
0.5000 0.5000 0.0000
0.0000 0.0000 0.5000
0.0000 0.5000 0.8740
0.5000 0.0000 0.1260
0.5000 0.5000 0.5000
0.0000 0.0000 0.0000
0.0000 0.5000 0.6299
0.5000 0.0000 0.3701
```

Summary:
electronic total energy = -5.62 eV/atom


15.
An optimized crystal structure of La2CuSiN, computed with GGA-PBE.

The structure in POSCAR format:
```
La2CuSiN
1.0
6.7205 0.0000 0.0000
0.0000 3.9218 0.0000
-2.5623 0.0000 8.0048
La Cu Si N
4 2 2 2
direct
0.1982 0.2500 0.3862
0.2145 0.2500 0.9625
0.7855 0.7500 0.0375
0.8018 0.7500 0.6138
0.4636 0.7500 0.2492
0.5364 0.2500 0.7508
0.3241 0.7500 0.6973
0.6759 0.2500 0.3027
0.1543 0.7500 0.1654
0.8457 0.2500 0.8346
```

Summary:
uncorrected formation energy = -0.82 eV per atom
distance to the lowest polymorph of the same formula = 0.000 eV/atom


16.
An optimized crystal structure of Pm2MnCl8, computed with GGA-PBE.

The structure in POSCAR format:
```
Pm2MnCl8
1.0
10.3304 -1.9511 0.0000
10.3304 1.9511 0.0000
-1.5637 0.0000 8.0897
Pm Mn Cl
2 1 8
direct
0.1545 0.1545 0.3292
0.8455 0.8455 0.6708
0.5000 0.5000 0.0000
0.0102 0.0102 0.2055
0.2433 0.2433 0.6622
0.3742 0.3742 0.9346
0.3928 0.3928 0.4965
0.6072 0.6072 0.5035
0.6258 0.6258 0.0654
0.7567 0.7567 0.3378
0.9898 0.9898 0.7945
```

Summary:
uncorrected formation energy = -1.94 eV per atom


17.
An optimized crystal structure of Rb2Se3S2, computed with GGA-PBE.

The structure in POSCAR format:
```
Rb2Se3S2
1.0
5.4915 0.0000 0.0000
0.0000 4.4516 0.0000
-1.1325 0.0000 10.0999
Rb Se S
2 3 2
direct
0.1631 0.0000 0.2491
0.8369 0.0000 0.7509
0.0000 0.5000 0.5000
0.3471 0.5000 0.8776
0.6529 0.5000 0.1224
0.3590 0.5000 0.6603
0.6410 0.5000 0.3397
```

Summary:
uncorrected formation energy = -0.48 eV per atom


18.
An optimized crystal structure of Th5Sc2, computed with GGA-PBE.

The structure in POSCAR format:
```
Th5Sc2
1.0
7.7711 -3.0353 0.0000
7.7711 3.0353 0.0000
-0.4993 0.0000 9.0101
Th Sc
10 4
direct
0.0294 0.6930 0.0413
0.1272 0.4398 0.6798
0.1743 0.8257 0.7500
0.3070 0.9706 0.4587
0.4398 0.1272 0.1798
0.5602 0.8728 0.8202
0.6930 0.0294 0.5413
0.8257 0.1743 0.2500
0.8728 0.5602 0.3202
0.9706 0.3070 0.9587
0.2736 0.5858 0.3941
0.4142 0.7264 0.1059
0.5858 0.2736 0.8941
0.7264 0.4142 0.6059
```

Summary:
electronic total energy = -7.05 eV/atom


19.
An optimized crystal structure of KSiN3, computed with GGA-PBE.

The structure in POSCAR format:
```
KSiN3
1.0
3.7525 0.0000 0.0000
0.0000 3.7525 0.0000
0.0000 0.0000 3.7525
K Si N
1 1 3
direct
0.0000 0.0000 0.0000
0.5000 0.5000 0.5000
0.0000 0.5000 0.5000
0.5000 0.0000 0.5000
0.5000 0.5000 0.0000
```

Summary:
uncorrected formation energy = 0.76 eV per atom


20.
An optimized crystal structure of LaTb4Sc, computed with GGA-PBE.

The structure in POSCAR format:
```
LaTb4Sc
1.0
5.5942 -2.5156 0.0000
5.5942 2.5156 0.0000
-2.1623 0.0000 6.7063
La Tb Sc
1 4 1
direct
0.0000 0.0000 0.0000
0.3311 0.3311 0.6622
0.3369 0.3369 0.1726
0.6631 0.6631 0.8274
0.6689 0.6689 0.3378
0.0000 0.0000 0.5000
```

Summary:
distance to the lowest polymorph of the same formula = 0.000 eV/atom